(1)
DFT (PBE-GGA) results for a relaxed structure of ThAsAuN.

Theoretical density in g cm⁻³: 11.08
Space-group type: I4mm
Formation energy from raw total energies in eV per atom: -0.557
Magnetic moment in μB per formula unit: 0.000

The structure in extended XYZ format:
```
4
Lattice="3.550 0.000 0.000 0.000 3.550 0.000 -1.775 -1.775 6.160" Properties=species:S:1:pos:R:3 pbc="T T T"
Th 1.775 1.775 4.564
As 1.775 1.775 1.235
Au 0.000 0.000 2.172
N 0.000 0.000 4.498
```

---

(2)
DFT (PBE-GGA) results for a relaxed structure of BaZn2Rh.

Formation energy from the elements in eV per atom: -0.094
Theoretical density in g cm⁻³: 6.98
Space-group type: P4mm
Magnetic moment in μB per formula unit: 0.000

The structure in extended XYZ format:
```
4
Lattice="-2.687 1.068 -1.929 -2.119 -2.092 1.793 -1.282 5.383 4.765" Properties=species:S:1:pos:R:3 pbc="T T T"
Ba -0.671 2.817 2.493
Rh -3.473 3.981 3.909
Zn -1.237 5.197 4.600
Zn -2.630 0.440 0.775
```